# 1
Ti6AlGa5 PBE optimized geometry; symmetry = No. 12; V = 15.77 A^3/atom; offset from the most stable computed form = 0 meV/atom; total magnetic moment = 0.00 μB/atom
1.0
-2.992 -1.328 3.631
-4.432 1.108 -3.245
2.280 -7.067 -0.682
Al Ga Ti
1 5 6
direct
0.000 0.000 0.000
0.671 0.165 0.330
0.332 0.334 0.667
0.000 0.500 0.000
0.668 0.666 0.333
0.329 0.835 0.670
0.831 0.582 0.665
0.831 0.083 0.665
0.500 0.749 0.000
0.500 0.251 0.000
0.169 0.917 0.335
0.169 0.418 0.335

# 2
Ti6AlGa PBE optimized geometry; symmetry = No. 187; V = 16.47 A^3/atom; total magnetic moment = 0.00 μB/atom
1.0
4.650 0.000 0.000
0.000 5.718 -0.186
0.000 -2.698 5.045
Ti Al Ga
6 1 1
direct
0.000 0.090 0.420
0.000 0.580 0.910
0.000 0.580 0.420
0.500 0.410 0.080
0.500 0.920 0.590
0.500 0.920 0.080
0.500 0.417 0.583
0.000 0.083 0.917

# 3
Ti5AlGa5 PBE optimized geometry; symmetry = No. 12; V = 17.81 A^3/atom; total magnetic moment = 0.00 μB/atom
1.0
4.869 0.000 0.000
-2.434 7.732 0.584
0.000 -2.090 5.045
Ti Al Ga
5 1 5
direct
0.675 0.350 0.216
0.683 0.367 0.721
0.000 0.000 0.500
0.317 0.633 0.279
0.325 0.650 0.784
0.000 0.000 0.000
0.842 0.684 0.088
0.841 0.682 0.576
0.500 0.000 0.000
0.159 0.318 0.424
0.158 0.316 0.912

# 4
Ti8AlGa5 PBE optimized geometry; symmetry = No. 82; V = 16.94 A^3/atom; total magnetic moment = 0.06 μB/atom
1.0
-1.528 6.239 2.084
-4.365 -1.896 -4.791
-0.381 -4.286 5.205
Ti Al Ga
8 1 5
direct
0.127 0.754 0.027
0.973 0.100 0.728
0.768 0.247 0.372
0.628 0.396 0.876
0.480 0.604 0.232
0.628 0.900 0.873
0.272 0.246 0.372
0.124 0.753 0.520
0.250 0.500 0.750
0.004 0.377 0.129
0.871 0.876 0.249
0.751 0.623 0.627
0.500 0.000 0.500
0.373 0.124 0.996

no.,energy relative to the elements (eV/atom)
1,-0.46
2,-0.30
3,-0.05
4,-0.29